# 1
Material: Na2CuF5
Method: DFT, GGA-PBE
State: optimized geometry

a = 3.7744 Å, b = 5.5055 Å, c = 5.5055 Å
α = 90.00°, β = 90.00°, γ = 90.00°
Last column: nearest neighbours and their distance in Å.
Atoms (fractional coordinates):
Cu: 0.0000 0.0000 0.0000  6 F 1.89
F: 0.0000 0.2428 0.7572  1 Cu 1.89
F: 0.5000 0.0000 0.0000  2 Cu 1.89
F: 0.0000 0.7572 0.7572  1 Cu 1.89
F: 0.0000 0.2428 0.2428  1 Cu 1.89
F: 0.0000 0.7572 0.2428  1 Cu 1.89
Na: 0.5000 0.0000 0.5000  10 F 2.71-2.75
Na: 0.5000 0.5000 0.0000  10 F 2.71-2.75

Results
distance to the lowest polymorph of the same formula: 0.056 eV/atom
symmetry: P4/mmm
D(E_F): 3.4 states/eV/f.u.



# 2
Material: Mg2TcIN
Method: DFT, GGA-PBE
State: optimized geometry

a = 4.7520 Å, b = 3.9533 Å, c = 4.7520 Å
α = 90.00°, β = 90.00°, γ = 90.00°
Last column: nearest neighbours and their distance in Å.
Atoms (fractional coordinates):
Mg: 0.5000 0.0000 0.0000  2 N 2.38
Mg: 0.0000 0.0000 0.5000  2 N 2.38
I: 0.5000 0.5000 0.5000  8 Mg 3.09, 4 Tc 3.36
N: 0.0000 0.0000 0.0000  2 Tc 1.98
Tc: 0.0000 0.5000 0.0000  2 N 1.98

Results
symmetry: P4/mmm
final energy: -4.532 eV/atom
D(E_F): 2.9 states/eV/f.u.



# 3
Material: Tl8VTe6
Method: DFT, GGA-PBE
State: optimized geometry

a = 10.4760 Å, b = 8.2749 Å, c = 12.8167 Å
α = 90.00°, β = 90.00°, γ = 90.00°
Last column: nearest neighbours and their distance in Å.
Atoms (fractional coordinates):
V: 0.6612 0.0000 0.5053  4 Te 2.55-2.61
V: 0.3388 0.5000 0.0053  4 Te 2.55-2.61
Tl: 0.6808 0.7617 0.2368  5 Te 3.31-3.69, 2 Tl 3.47-3.68
Tl: 0.4559 0.0000 0.9406  3 Te 3.18-3.29
Tl: 0.5441 0.5000 0.4406  3 Te 3.18-3.29
Tl: 0.6808 0.2383 0.2368  5 Te 3.31-3.69, 2 Tl 3.47-3.68
Tl: 0.3192 0.2617 0.7368  5 Te 3.31-3.69, 2 Tl 3.47-3.68
Tl: 0.0535 0.2202 0.0657  3 Te 3.26-3.34, 1 Tl 3.64
Tl: 0.0535 0.7798 0.0657  3 Te 3.26-3.34, 1 Tl 3.64
Tl: 0.7503 0.5000 0.0333  2 Te 3.24-3.48, 4 Tl 3.41-3.47
Tl: 0.8281 0.2412 0.8359  3 Te 3.18-3.37, 1 Tl 3.41
Tl: 0.8281 0.7588 0.8359  3 Te 3.18-3.37, 1 Tl 3.41
Tl: 0.3192 0.7383 0.7368  5 Te 3.31-3.69, 2 Tl 3.47-3.68
Tl: 0.1719 0.7412 0.3359  3 Te 3.18-3.37, 1 Tl 3.41
Tl: 0.2497 0.0000 0.5333  2 Te 3.24-3.48, 4 Tl 3.41-3.47
Tl: 0.9465 0.2798 0.5657  3 Te 3.26-3.34, 1 Tl 3.64
Tl: 0.1719 0.2588 0.3359  3 Te 3.18-3.37, 1 Tl 3.41
Tl: 0.9465 0.7202 0.5657  3 Te 3.26-3.34, 1 Tl 3.64
Te: 0.6403 0.2474 0.6222  1 V 2.55
Te: 0.7390 0.0000 0.0306  5 Tl 3.18-3.35
Te: 0.3597 0.7474 0.1222  1 V 2.55
Te: 0.8724 0.0000 0.3968  1 V 2.61
Te: 0.0335 0.0000 0.7398  5 Tl 3.18-3.48
Te: 0.6403 0.7526 0.6222  1 V 2.55
Te: 0.5158 0.5000 0.8685  1 V 2.55
Te: 0.3597 0.2526 0.1222  1 V 2.55
Te: 0.1276 0.5000 0.8968  1 V 2.61
Te: 0.9665 0.5000 0.2398  5 Tl 3.18-3.48
Te: 0.4842 0.0000 0.3685  1 V 2.55
Te: 0.2610 0.5000 0.5306  5 Tl 3.18-3.35

Results
symmetry: Pmn2_1
final energy: -3.353 eV/atom
D(E_F): 5.6 states/eV/f.u.



What did the first record say?
Material: Na2CuF5
Method: DFT, GGA-PBE
State: optimized geometry

a = 3.7744 Å, b = 5.5055 Å, c = 5.5055 Å
α = 90.00°, β = 90.00°, γ = 90.00°
Last column: nearest neighbours and their distance in Å.
Atoms (fractional coordinates):
Cu: 0.0000 0.0000 0.0000  6 F 1.89
F: 0.0000 0.2428 0.7572  1 Cu 1.89
F: 0.5000 0.0000 0.0000  2 Cu 1.89
F: 0.0000 0.7572 0.7572  1 Cu 1.89
F: 0.0000 0.2428 0.2428  1 Cu 1.89
F: 0.0000 0.7572 0.2428  1 Cu 1.89
Na: 0.5000 0.0000 0.5000  10 F 2.71-2.75
Na: 0.5000 0.5000 0.0000  10 F 2.71-2.75

Results
distance to the lowest polymorph of the same formula: 0.056 eV/atom
symmetry: P4/mmm
D(E_F): 3.4 states/eV/f.u.



Number 1 is which compound? Na2CuF5



Which formula does entry 2 have? Mg2TcIN